[1]
# CdCuPt2 | the Alexandria database | meta-GGA SCAN | PBEsol geometry
# N(E_F): 7.1 states/eV per cell
# Final energy: -46.5330 eV per atom
data_CdCuPt2
_space_group_name_H-M_alt 'R 3 m'
_space_group_IT_number 160
_space_group_name_Hall 'R 3 -2"'
_cell_length_a 2.7830
_cell_length_b 2.7830
_cell_length_c 26.9516
_cell_angle_alpha 90.00
_cell_angle_beta 90.00
_cell_angle_gamma 120.00
loop_
_atom_site_label
_atom_site_fract_x
_atom_site_fract_y
_atom_site_fract_z
Cd1 0.0000 0.0000 0.0000
Cu1 0.0000 0.0000 0.7496
Pt1 0.0000 0.0000 0.2458
Pt2 0.0000 0.0000 0.4926

---

[2]
# SrAlMoW2 | the Alexandria database | meta-GGA SCAN | PBEsol geometry
# N(E_F): 4.8 states/eV per cell
# Final energy: -39.0655 eV per atom
data_SrAlMoW2
_space_group_name_H-M_alt 'P 4/m m m'
_space_group_IT_number 123
_space_group_name_Hall '-P 4 2'
_cell_length_a 4.720
_cell_length_b 4.720
_cell_length_c 4.700
_cell_angle_alpha 90.00
_cell_angle_beta 90.00
_cell_angle_gamma 90.00
loop_
_atom_site_label
_atom_site_fract_x
_atom_site_fract_y
_atom_site_fract_z
Sr1 0.000 0.000 0.000
Al1 0.500 0.500 0.500
Mo1 0.500 0.500 0.000
W1 0.000 0.500 0.500

---

[3]
# MgCrBr4 | the Alexandria database | meta-GGA SCAN | PBEsol geometry
# N(E_F): 11.0 states/eV per cell
# Final energy: -16.3768 eV per atom
data_MgCrBr4
_space_group_name_H-M_alt 'F -4 3 m'
_space_group_IT_number 216
_space_group_name_Hall 'F -4 2 3'
_cell_length_a 8.717
_cell_length_b 8.717
_cell_length_c 8.717
_cell_angle_alpha 90.00
_cell_angle_beta 90.00
_cell_angle_gamma 90.00
loop_
_atom_site_label
_atom_site_fract_x
_atom_site_fract_y
_atom_site_fract_z
Mg1 0.000 0.000 0.000
Cr1 0.250 0.250 0.250
Br1 0.125 0.125 0.625